An optimized crystal structure of Ca4BiAsI2, computed with PBE.

Values from the calculation:
Uncorrected energy = -3.71 eV per atom
Calculated density = 4.26 g/cm3
Symmetry = No. 10
Raw formation energy = -1252 meV per atom
Volume = 34.0 Å³ per atom

Cell lengths 7.911, 4.544, 8.010 Å; angles 90.00, 109.24, 90.00 degrees
Positions (direct):
Ca  0.220  0.000  0.198
Ca  0.250  0.500  0.797
Ca  0.750  0.500  0.203
Ca  0.780  0.000  0.802
Bi  0.500  0.000  0.000
As  0.000  0.500  0.000
I  0.000  0.000  0.500
I  0.500  0.500  0.500